Entry 1:
Material: LiLaTl3
Method: DFT, meta-GGA SCAN
State: PBEsol geometry

Summary:
The value obtained for the formation energy from the elements is 0.425 eV per atom.

Unit cell a=6.036 b=6.036 c=6.036 alpha=90.00 beta=90.00 gamma=90.00
Atoms (fractional coordinates):
Tl1 0.000 0.500 0.000
Tl2 0.000 0.000 0.500
Tl3 0.500 0.000 0.000
Li1 0.500 0.500 0.500
La1 0.000 0.000 0.000



Entry 2:
Material: Ta2ZnCo
Method: DFT, meta-GGA SCAN
State: PBEsol geometry

Summary:
The value obtained for the formation energy from the elements is -0.037 eV per atom.

Unit cell a=2.771 b=4.697 c=4.697 alpha=108.21 beta=90.00 gamma=90.00
Last column: magnetic moment on the atom in μB.
Atoms (fractional coordinates):
Co1 0.500 0.000 0.000  -1.54
Ta1 0.000 0.000 0.500  0.02
Ta2 0.000 0.500 0.000  0.02
Zn1 0.500 0.500 0.500  -0.01



Entry 3:
Material: AlNiHg2
Method: DFT, meta-GGA SCAN
State: PBEsol geometry

Summary:
The value obtained for the formation energy from the elements is 0.198 eV per atom.

Unit cell a=3.150 b=4.690 c=4.690 alpha=105.61 beta=90.00 gamma=90.00
Atoms (fractional coordinates):
Ni1 0.500 0.000 0.000
Hg1 0.000 0.500 0.000
Hg2 0.000 0.000 0.500
Al1 0.500 0.500 0.500



Entry 4:
Material: AlTl
Method: DFT, meta-GGA SCAN
State: PBEsol geometry

Summary:
The value obtained for the formation energy from the elements is 0.221 eV per atom.

Unit cell a=3.284 b=3.284 c=9.874 alpha=90.00 beta=90.00 gamma=120.00
Atoms (fractional coordinates):
Tl1 0.333 0.667 0.648
Tl2 0.667 0.333 0.352
Al1 0.333 0.667 0.102
Al2 0.667 0.333 0.898



Entry 5:
Material: TaCu2Rh
Method: DFT, meta-GGA SCAN
State: PBEsol geometry

Summary:
The value obtained for the formation energy from the elements is -0.079 eV per atom.

Unit cell a=2.742 b=3.902 c=5.039 alpha=90.00 beta=89.95 gamma=90.00
Atoms (fractional coordinates):
Cu1 0.000 0.000 0.757
Cu2 0.000 0.000 0.243
Rh1 0.500 0.500 0.000
Ta1 0.500 0.500 0.500



Entry 6:
Material: ZrZn2Mo
Method: DFT, meta-GGA SCAN
State: PBEsol geometry

Summary:
The value obtained for the formation energy from the elements is 0.000 eV per atom. For the excess energy over the best structure of this formula in the dataset, the calculation gives 0.037 eV per atom.

Unit cell a=3.365 b=4.454 c=5.094 alpha=115.93 beta=109.29 gamma=90.00
Atoms (fractional coordinates):
Mo1 0.259 0.759 0.517
Zn1 0.012 0.012 0.025
Zn2 0.731 0.231 0.462
Zr1 0.498 0.498 0.996



Entry 7:
Material: TlIn2Hg
Method: DFT, meta-GGA SCAN
State: PBEsol geometry

Summary:
The value obtained for the formation energy from the elements is 0.065 eV per atom.

Unit cell a=4.497 b=4.497 c=5.931 alpha=112.28 beta=112.28 gamma=90.00
Atoms (fractional coordinates):
Tl1 0.500 0.500 0.000
Hg1 0.250 0.750 0.500
In1 0.000 0.000 0.000
In2 0.750 0.250 0.500



Entry 8:
Material: Ba2IrCl
Method: DFT, meta-GGA SCAN
State: PBEsol geometry

Summary:
The formation energy (no corrections) comes out at -1.06 eV per atom. For the excess energy over the best structure of this formula in the dataset, the calculation gives 0.000 eV per atom.

Unit cell a=3.721 b=3.721 c=8.036 alpha=90.00 beta=90.00 gamma=90.00
Atoms (fractional coordinates):
Ir1 0.500 0.500 0.500
Ba1 0.000 0.000 0.725
Ba2 0.000 0.000 0.275
Cl1 0.500 0.500 0.000



Entry 9:
Material: FeTeRuN2
Method: DFT, meta-GGA SCAN
State: PBEsol geometry

Summary:
The formation energy (no corrections) comes out at 0.87 eV per atom.

Unit cell a=3.738 b=3.738 c=5.668 alpha=90.00 beta=90.00 gamma=90.00
Last column: magnetic moment on the atom in μB.
Atoms (fractional coordinates):
Ru1 0.000 0.000 0.000  -0.09
Te1 0.000 0.000 0.500  -0.04
Fe1 0.500 0.500 0.500  2.97
N1 0.000 0.500 0.000  0.02
N2 0.500 0.000 0.000  0.02



Entry 10:
Material: Zr2BeTc
Method: DFT, meta-GGA SCAN
State: PBEsol geometry

Summary:
The value obtained for the formation energy from the elements is -0.118 eV per atom.

Unit cell a=3.207 b=4.485 c=5.036 alpha=104.63 beta=108.57 gamma=90.00
Atoms (fractional coordinates):
Be1 0.526 0.485 0.053
Tc1 0.202 0.728 0.404
Zr1 0.998 0.979 0.996
Zr2 0.774 0.307 0.548



Entry 11:
Material: Be2ZnIr2
Method: DFT, meta-GGA SCAN
State: PBEsol geometry

Summary:
The value obtained for the formation energy from the elements is -0.561 eV per atom.

Unit cell a=2.881 b=6.238 c=6.238 alpha=90.00 beta=90.00 gamma=90.00
Atoms (fractional coordinates):
Be1 0.000 0.373 0.873
Be2 0.000 0.873 0.627
Be3 0.000 0.627 0.127
Be4 0.000 0.127 0.373
Zn1 0.000 0.000 0.000
Zn2 0.000 0.500 0.500
Ir1 0.500 0.165 0.665
Ir2 0.500 0.665 0.835
Ir3 0.500 0.835 0.335
Ir4 0.500 0.335 0.165



Entry 12:
Material: Tl2HgAs
Method: DFT, meta-GGA SCAN
State: PBEsol geometry

Summary:
The value obtained for the formation energy from the elements is 0.127 eV per atom. For the excess energy over the best structure of this formula in the dataset, the calculation gives 0.089 eV per atom.

Unit cell a=3.352 b=5.361 c=6.426 alpha=114.59 beta=105.12 gamma=90.00
Atoms (fractional coordinates):
As1 0.509 0.509 0.018
Tl1 0.989 0.989 0.978
Tl2 0.777 0.277 0.555
Hg1 0.224 0.724 0.449



Entry 13:
Material: Cs4Rb2Fe2O5
Method: DFT, meta-GGA SCAN
State: PBEsol geometry

Summary:
The formation energy (no corrections) comes out at -1.43 eV per atom.

Unit cell a=6.959 b=6.959 c=7.129 alpha=92.04 beta=92.04 gamma=117.21
Last column: magnetic moment on the atom in μB.
Atoms (fractional coordinates):
Cs1 0.659 0.659 0.315  -0.01
Cs2 0.341 0.341 0.685  -0.01
Cs3 0.754 0.246 0.000  0.00
Cs4 0.246 0.754 0.000  0.00
Rb1 0.786 0.214 0.500  0.00
Rb2 0.214 0.786 0.500  0.00
Fe1 0.194 0.194 0.194  3.46
Fe2 0.806 0.806 0.806  3.46
O1 0.000 0.000 0.000  0.21
O2 0.158 0.423 0.286  0.17
O3 0.842 0.577 0.714  0.17
O4 0.577 0.842 0.714  0.17
O5 0.423 0.158 0.286  0.17



Entry 14:
Material: Mn2ZnHO
Method: DFT, meta-GGA SCAN
State: PBEsol geometry

Summary:
For the total energy, the calculation gives -11.29 eV/atom.

Unit cell a=3.687 b=4.764 c=4.764 alpha=90.00 beta=90.00 gamma=90.00
Last column: magnetic moment on the atom in μB.
Atoms (fractional coordinates):
H1 0.500 0.500 0.500  0.01
Zn1 0.000 0.000 0.000  -0.03
Mn1 0.000 0.000 0.500  4.43
Mn2 0.000 0.500 0.000  4.43
O1 0.500 0.000 0.000  0.15



Entry 15:
Material: Cu3Pt2
Method: DFT, meta-GGA SCAN
State: PBEsol geometry

Summary:
The value obtained for the formation energy from the elements is -0.124 eV per atom. For the excess energy over the best structure of this formula in the dataset, the calculation gives 0.024 eV per atom.

Unit cell a=4.571 b=5.332 c=5.818 alpha=103.37 beta=96.79 gamma=106.89
Atoms (fractional coordinates):
Cu1 0.803 0.857 0.598
Cu2 0.601 0.952 0.207
Cu3 0.399 0.048 0.793
Cu4 0.197 0.143 0.402
Cu5 0.801 0.340 0.596
Cu6 0.199 0.660 0.404
Pt1 0.991 0.244 0.997
Pt2 0.599 0.454 0.218
Pt3 0.401 0.546 0.782
Pt4 0.009 0.756 0.003



Entry 16:
Material: NbSnPt3
Method: DFT, meta-GGA SCAN
State: PBEsol geometry

Summary:
The value obtained for the formation energy from the elements is 1.109 eV per atom.

Unit cell a=4.794 b=4.794 c=4.794 alpha=90.00 beta=90.00 gamma=90.00
Last column: magnetic moment on the atom in μB.
Atoms (fractional coordinates):
Nb1 0.500 0.500 0.500  1.94
Sn1 0.000 0.000 0.000  -0.03
Pt1 0.000 0.500 0.000  -0.05
Pt2 0.000 0.000 0.500  -0.05
Pt3 0.500 0.000 0.000  -0.05



Entry 17:
Material: CaAlTeI2
Method: DFT, meta-GGA SCAN
State: PBEsol geometry

Summary:
The formation energy (no corrections) comes out at -0.60 eV per atom.

Unit cell a=5.475 b=5.475 c=5.491 alpha=90.00 beta=90.00 gamma=90.00
Atoms (fractional coordinates):
I1 0.000 0.500 0.000
I2 0.500 0.000 0.000
Ca1 0.500 0.500 0.500
Te1 0.000 0.000 0.500
Al1 0.000 0.000 0.000



Entry 18:
Material: BeAgBr2
Method: DFT, meta-GGA SCAN
State: PBEsol geometry

Summary:
The formation energy (no corrections) comes out at 0.20 eV per atom. For the excess energy over the best structure of this formula in the dataset, the calculation gives 0.344 eV per atom.

Unit cell a=3.738 b=3.738 c=7.083 alpha=105.30 beta=105.30 gamma=90.00
Atoms (fractional coordinates):
Be1 0.250 0.750 0.500
Br1 0.000 0.000 0.000
Br2 0.750 0.250 0.500
Ag1 0.500 0.500 0.000



Entry 19:
Material: TlCd2Au
Method: DFT, meta-GGA SCAN
State: PBEsol geometry

Summary:
The value obtained for the formation energy from the elements is -0.021 eV per atom. For the excess energy over the best structure of this formula in the dataset, the calculation gives 0.048 eV per atom.

Unit cell a=2.974 b=3.919 c=7.473 alpha=90.00 beta=90.00 gamma=90.00
Atoms (fractional coordinates):
Tl1 0.000 0.000 0.520
Au1 0.500 0.500 0.779
Cd1 0.000 0.000 0.979
Cd2 0.500 0.500 0.222



Entry 20:
Material: MnCoI2
Method: DFT, meta-GGA SCAN
State: PBEsol geometry

Summary:
The formation energy (no corrections) comes out at 0.22 eV per atom.

Unit cell a=5.970 b=5.970 c=7.286 alpha=114.19 beta=114.19 gamma=90.00
Last column: magnetic moment on the atom in μB.
Atoms (fractional coordinates):
I1 0.350 0.875 0.250  0.03
I2 0.900 0.375 0.250  0.03
I3 0.125 0.100 0.750  0.03
I4 0.625 0.650 0.750  0.03
Mn1 0.750 0.250 0.500  4.10
Mn2 0.500 0.500 0.000  4.10
Co1 0.250 0.750 0.500  1.60
Co2 0.000 0.000 0.000  1.60



Size of the total moment? In order: 0.00; 1.48; 0.00; 0.00; 0.00; 0.00; 0.00; 0.00; 3.05; 0.00; 0.00; 0.00; 7.96; 9.76; 0.00; 2.42; 0.00; 0.00; 0.00; 6.00 μB per formula unit.